1.
KBa2CrH (PBE-GGA, optimized geometry); calculated volume = 199.6 Å³/cell; space group = P4/mmm (123); electronic total energy = -13.71 eV per cell
1.0
6.808 0.000 0.000
0.000 6.808 0.000
0.000 0.000 4.306
K Ba Cr H
1 2 1 1
Cartesian
0.000 0.000 0.000
0.000 3.404 0.000
3.404 0.000 0.000
3.404 3.404 2.153
0.000 0.000 2.153

---

2.
Ba2LaCrH (PBE-GGA, optimized geometry); calculated volume = 196.3 Å³/cell; space group = P4/mmm (123); electronic total energy = -18.11 eV per cell
1.0
6.813 0.000 0.000
0.000 6.813 0.000
0.000 0.000 4.229
Ba La Cr H
2 1 1 1
Cartesian
0.000 3.406 0.000
3.406 0.000 0.000
0.000 0.000 0.000
3.406 3.406 2.114
0.000 0.000 2.114

---

3.
BaLi2CrH6 (PBE-GGA, optimized geometry); calculated volume = 203.9 Å³/cell; space group = P2_1/c (14); electronic total energy = -75.95 eV per cell
1.0
5.227 0.000 0.000
0.000 5.258 0.000
-5.219 0.000 7.418
Ba Li Cr H
2 4 2 12
Cartesian
0.000 0.000 0.000
-2.609 2.629 3.709
-2.604 0.279 5.709
0.006 2.349 2.000
0.002 2.908 5.418
2.612 4.978 1.709
0.004 0.000 3.709
2.613 2.629 0.000
-1.142 0.536 2.520
-3.752 2.093 6.229
1.479 3.175 1.197
-1.130 4.712 4.906
0.008 3.610 3.302
-2.602 4.277 7.011
2.610 0.981 0.407
0.000 1.648 4.116
1.138 0.546 2.512
-1.472 2.083 6.221
3.760 3.165 1.189
1.150 4.722 4.898

---

4.
BaNa2CrH8 (PBE-GGA, optimized geometry); calculated volume = 154.2 Å³/cell; space group = P-3m1 (164); electronic total energy = -41.43 eV per cell
1.0
5.039 0.000 0.000
-2.519 4.364 0.000
0.000 0.000 7.013
Ba Na Cr H
1 2 1 8
Cartesian
0.000 0.000 0.000
0.000 2.909 2.608
2.519 1.455 4.404
0.000 0.000 3.506
0.000 1.357 4.533
-1.344 3.685 4.533
1.175 0.678 2.480
0.000 2.909 0.264
2.519 1.455 6.748
1.344 3.685 4.533
3.864 0.678 2.480
2.519 3.007 2.480

---

5.
Ba2NaCrH6 (PBE-GGA, optimized geometry); calculated volume = 161.0 Å³/cell; space group = P-3m1 (164); electronic total energy = -37.30 eV per cell
1.0
5.630 0.000 0.000
-2.815 4.875 0.000
0.000 0.000 5.866
Ba Na Cr H
2 1 1 6
Cartesian
0.000 3.250 1.065
2.815 1.625 4.802
0.000 0.000 2.933
0.000 0.000 0.000
0.000 1.463 4.860
-1.548 4.144 4.860
1.267 0.731 1.006
1.548 4.144 4.860
4.363 0.731 1.006
2.815 3.413 1.006

---

6.
BaCrNi2H8 (PBE-GGA, optimized geometry); calculated volume = 114.0 Å³/cell; space group = R-3 (148); electronic total energy = -51.02 eV per cell
1.0
2.335 1.348 6.035
-2.335 1.348 6.035
0.000 -2.696 6.035
Ba Cr Ni H
1 1 2 8
Cartesian
0.000 0.000 0.000
0.000 0.000 9.053
0.000 0.000 3.511
0.000 0.000 14.595
-0.687 -1.497 8.321
-1.640 -0.153 9.785
0.000 0.000 5.122
-0.953 1.344 8.321
0.953 -1.344 9.785
0.000 0.000 12.984
1.640 0.153 8.321
0.687 1.497 9.785